Entry one
# TbTcAsO (PBE, optimized geometry)
data_TbTcAsO
_chemical_formula_sum 'Tb2 Tc2 As2 O2'
_cell_length_a 4.298
_cell_length_b 4.372
_cell_length_c 6.938
_cell_angle_alpha 90.00
_cell_angle_beta 90.00
_cell_angle_gamma 90.00
_space_group_name_H-M_alt 'P m c 21'
_space_group_IT_number 26
_space_group_name_Hall 'P 2c -2'
loop_
_atom_site_label
_atom_site_fract_x
_atom_site_fract_y
_atom_site_fract_z
_atom_site_occupancy
Tb1 0.000 0.222 0.000 1
Tc1 0.500 0.307 0.342 1
As1 0.500 0.196 0.683 1
O1 0.000 0.294 0.336 1
# Crystal system = orthorhombic
# Size of the total moment = 0.012 μB per atom

Entry two
# TbTcAsO (PBE, optimized geometry)
data_TbTcAsO
_chemical_formula_sum 'Tb2 Tc2 As2 O2'
_cell_length_a 4.105
_cell_length_b 6.207
_cell_length_c 5.678
_cell_angle_alpha 90.00
_cell_angle_beta 90.00
_cell_angle_gamma 90.00
_space_group_name_H-M_alt 'P m c 21'
_space_group_IT_number 26
_space_group_name_Hall 'P 2c -2'
loop_
_atom_site_label
_atom_site_fract_x
_atom_site_fract_y
_atom_site_fract_z
_atom_site_occupancy
Tb1 0.000 0.177 0.000 1
Tc1 0.500 0.465 0.767 1
As1 0.000 0.316 0.512 1
O1 0.500 0.255 0.064 1
# Crystal system = orthorhombic
# Size of the total moment = 0.004 μB per atom

Entry three
# TbTcAsO (PBE, optimized geometry)
data_TbTcAsO
_chemical_formula_sum 'Tb2 Tc2 As2 O2'
_cell_length_a 3.959
_cell_length_b 3.959
_cell_length_c 8.559
_cell_angle_alpha 90.00
_cell_angle_beta 90.00
_cell_angle_gamma 90.00
_space_group_name_H-M_alt 'P 4/n m m'
_space_group_IT_number 129
loop_
_space_group_symop_operation_xyz
'x,y,z'
'-x,-y,-z'
'-y+1/2,x,z'
'y+1/2,-x,-z'
'-x+1/2,-y+1/2,z'
'x+1/2,y+1/2,-z'
'y,-x+1/2,z'
'-y,x+1/2,-z'
'x+1/2,-y,-z'
'-x+1/2,y,z'
'-y,-x,-z'
'y,x,z'
'-x,y+1/2,-z'
'x,-y+1/2,z'
'y+1/2,x+1/2,-z'
'-y+1/2,-x+1/2,z'
loop_
_atom_site_label
_atom_site_fract_x
_atom_site_fract_y
_atom_site_fract_z
_atom_site_occupancy
Tb1 0.250 0.250 0.129 1
Tc1 0.250 0.750 0.500 1
As1 0.250 0.250 0.679 1
O1 0.250 0.750 0.000 1
# Crystal system = tetragonal
# Size of the total moment = 0.002 μB per atom

Which of the structures shown above is the most stable? The most stable is entry three.